(1)
# Tm4ZnAu3

Crystalline Tm4ZnAu3 at its relaxed geometry (GGA-PBE, Alexandria).

Lattice parameters (Å, degrees): 3.6621 4.6231 10.8719 90.00 90.00 90.00
With the nearest neighbours (Å) after each atom.
Sites, in units of the cell vectors:
Tm 0.0000 0.0000 0.0000  6 Au 3.00-3.09, 1 Zn 3.02
Tm 0.0000 0.5000 0.2805  7 Au 3.00-3.09
Tm 0.5000 0.0000 0.4972  5 Au 2.92-3.03, 2 Zn 3.05
Tm 0.5000 0.5000 0.7808  3 Au 2.94-3.02, 4 Zn 3.02
Zn 0.0000 0.0000 0.7220  2 Au 2.91, 7 Tm 3.02-3.05
Au 0.0000 0.5000 0.5597  2 Zn 2.91, 7 Tm 3.02-3.04
Au 0.5000 0.0000 0.2285  7 Tm 2.92-3.09, 2 Au 3.01
Au 0.5000 0.5000 0.0512  7 Tm 2.94-3.09, 2 Au 3.01

Summary:
- D(E_F) (states/eV/f.u.) = 7.48
- polymorph energy (0 for the lowest one) (eV/f.u.) = 0.12
- crystal system = orthorhombic


(2)
# CaCoRh2

Crystalline CaCoRh2 at its relaxed geometry (GGA-PBE, Alexandria).

Lattice parameters (Å, degrees): 4.5297 4.5297 16.3181 90.00 90.00 90.00
With the nearest neighbours (Å) after each atom.
Sites, in units of the cell vectors:
Ca 0.0000 0.0000 0.0000  4 Rh 2.93, 4 Co 3.20
Ca 0.0000 0.5000 0.2500  4 Rh 2.93, 4 Co 3.20
Ca 0.5000 0.0000 0.7500  4 Rh 2.93, 4 Co 3.20
Ca 0.5000 0.5000 0.5000  4 Rh 2.93, 4 Co 3.20
Co 0.0000 0.0000 0.5000  4 Rh 2.39
Co 0.0000 0.5000 0.7500  4 Rh 2.39
Co 0.5000 0.0000 0.2500  4 Rh 2.39
Co 0.5000 0.5000 0.0000  4 Rh 2.39
Rh 0.1103 0.2500 0.6250  2 Co 2.39, 2 Rh 2.48
Rh 0.2500 0.6103 0.8750  2 Co 2.39, 2 Rh 2.48
Rh 0.2500 0.8897 0.3750  2 Co 2.39, 2 Rh 2.48
Rh 0.3897 0.2500 0.1250  2 Co 2.39, 2 Rh 2.48
Rh 0.6103 0.7500 0.1250  2 Co 2.39, 2 Rh 2.48
Rh 0.7500 0.1103 0.3750  2 Co 2.39, 2 Rh 2.48
Rh 0.7500 0.3897 0.8750  2 Co 2.39, 2 Rh 2.48
Rh 0.8897 0.7500 0.6250  2 Co 2.39, 2 Rh 2.48

Summary:
- D(E_F) (states/eV/f.u.) = 5.83
- polymorph energy (0 for the lowest one) (eV/f.u.) = 1.41
- crystal system = tetragonal


(3)
# HfPa2

Crystalline HfPa2 at its relaxed geometry (GGA-PBE, Alexandria).

Lattice parameters (Å, degrees): 3.7875 3.7875 10.0404 90.00 90.00 90.00
With the nearest neighbours (Å) after each atom.
Sites, in units of the cell vectors:
Hf 0.0000 0.0000 0.0000  10 Pa 3.19-3.30
Hf 0.5000 0.5000 0.5000  10 Pa 3.19-3.30
Pa 0.0000 0.0000 0.3283  5 Pa 3.11-3.45, 5 Hf 3.19-3.30
Pa 0.0000 0.0000 0.6717  5 Pa 3.11-3.45, 5 Hf 3.19-3.30
Pa 0.5000 0.5000 0.1717  5 Pa 3.11-3.45, 5 Hf 3.19-3.30
Pa 0.5000 0.5000 0.8283  5 Pa 3.11-3.45, 5 Hf 3.19-3.30

Summary:
- D(E_F) (states/eV/f.u.) = 6.23
- polymorph energy (0 for the lowest one) (eV/f.u.) = 0.26
- crystal system = tetragonal


(4)
# LuTh2Cd

Crystalline LuTh2Cd at its relaxed geometry (GGA-PBE, Alexandria).

Lattice parameters (Å, degrees): 3.4261 3.4261 37.3662 90.00 90.00 120.00
With the nearest neighbours (Å) after each atom.
Sites, in units of the cell vectors:
Lu 0.0000 0.0000 0.0000  6 Lu 3.43, 6 Th 3.51
Lu 0.3333 0.6667 0.6667  6 Lu 3.43, 6 Th 3.51
Lu 0.6667 0.3333 0.3333  6 Lu 3.43, 6 Th 3.51
Th 0.0000 0.0000 0.4111  1 Cd 3.32, 6 Th 3.43, 3 Lu 3.51
Th 0.0000 0.0000 0.5889  1 Cd 3.32, 6 Th 3.43, 3 Lu 3.51
Th 0.3333 0.6667 0.0777  1 Cd 3.32, 6 Th 3.43, 3 Lu 3.51
Th 0.3333 0.6667 0.2556  1 Cd 3.32, 6 Th 3.43, 3 Lu 3.51
Th 0.6667 0.3333 0.7444  1 Cd 3.32, 6 Th 3.43, 3 Lu 3.51
Th 0.6667 0.3333 0.9223  1 Cd 3.32, 6 Th 3.43, 3 Lu 3.51
Cd 0.0000 0.0000 0.5000  2 Th 3.32, 6 Cd 3.43
Cd 0.3333 0.6667 0.1667  2 Th 3.32, 6 Cd 3.43
Cd 0.6667 0.3333 0.8333  2 Th 3.32, 6 Cd 3.43

Summary:
- D(E_F) (states/eV/f.u.) = 5.52
- polymorph energy (0 for the lowest one) (eV/f.u.) = 0.94
- crystal system = trigonal


(5)
# Ca3Ga4Rh2

Crystalline Ca3Ga4Rh2 at its relaxed geometry (GGA-PBE, Alexandria).

Lattice parameters (Å, degrees): 5.7838 5.7838 8.5863 105.78 105.78 44.35
With the nearest neighbours (Å) after each atom.
Sites, in units of the cell vectors:
Ca 0.0000 0.0000 0.0000  6 Ga 3.08-3.30, 2 Rh 3.23
Ca 0.3872 0.3872 0.6250  6 Ga 3.10-3.18, 4 Rh 3.23-3.42
Ca 0.6128 0.6128 0.3750  6 Ga 3.10-3.18, 4 Rh 3.23-3.42
Ga 0.1015 0.1015 0.6404  2 Rh 2.53, 2 Ga 2.71-2.73
Ga 0.2884 0.2884 0.9331  3 Rh 2.54-2.62, 3 Ga 2.71
Ga 0.7116 0.7116 0.0669  3 Rh 2.54-2.62, 3 Ga 2.71
Ga 0.8985 0.8985 0.3596  2 Rh 2.53, 2 Ga 2.71-2.73
Rh 0.2986 0.2986 0.2319  5 Ga 2.53-2.62
Rh 0.7014 0.7014 0.7681  5 Ga 2.53-2.62

Summary:
- D(E_F) (states/eV/f.u.) = 4.14
- polymorph energy (0 for the lowest one) (eV/f.u.) = 0.12
- crystal system = monoclinic


(6)
# Ba4Ge2Te5Se3

Crystalline Ba4Ge2Te5Se3 at its relaxed geometry (GGA-PBE, Alexandria).

Lattice parameters (Å, degrees): 7.4004 7.6640 9.4832 108.09 90.02 90.07
With the nearest neighbours (Å) after each atom.
Sites, in units of the cell vectors:
Ba 0.0000 0.0000 0.0000  3 Se 3.37-3.46, 3 Te 3.49-3.74
Ba 0.9997 0.0083 0.4919  3 Se 3.39-3.52, 3 Te 3.51-3.61
Ba 0.5184 0.4611 0.6046  3 Se 3.37-3.53, 3 Te 3.56-3.61
Ba 0.5223 0.4665 0.1144  3 Se 3.32-3.46, 3 Te 3.51-3.68
Ge 0.0121 0.4492 0.3540  2 Se 2.39-2.40, 2 Te 2.60-2.62
Ge 0.5102 0.0163 0.7501  1 Se 2.39, 3 Te 2.60-2.62
Te 0.0061 0.6289 0.1602  1 Ge 2.62
Te 0.0068 0.6251 0.6366  1 Ge 2.60
Te 0.2434 0.2476 0.8114  1 Ge 2.60
Te 0.5054 0.8485 0.4645  1 Ge 2.61
Te 0.5094 0.8361 0.9437  1 Ge 2.62
Se 0.2622 0.2428 0.2992  1 Ge 2.39
Se 0.7595 0.2415 0.2998  1 Ge 2.40
Se 0.7628 0.2204 0.8044  1 Ge 2.39

Summary:
- formation energy (no corrections) (eV/f.u.) = -16.340
- crystal system = triclinic